(1)
Material: MgTcRu2
Method: DFT, PBEsol
State: optimized geometry

Output
SG: R-3m
DOS at the Fermi energy, states/eV per atom: 0.966
Crystal system: trigonal
Formation enthalpy at 0 K, eV per atom: 0.128
E, eV per atom: -8.20
Total magnetization, Bohr magnetons per cell: 0.00

a = 8.9454 Å, b = 8.9454 Å, c = 8.9454 Å
α = 17.65°, β = 17.65°, γ = 17.65°
With the nearest neighbours (Å) after each atom.
Element x y z (fractional)
Mg 0.0000 0.0000 0.0000  6 Mg 2.74, 6 Ru 2.80
Tc 0.5000 0.5000 0.5000  6 Ru 2.62, 6 Tc 2.74
Ru 0.2457 0.2457 0.2457  3 Tc 2.62, 6 Ru 2.74, 3 Mg 2.80
Ru 0.7543 0.7543 0.7543  3 Tc 2.62, 6 Ru 2.74, 3 Mg 2.80

=====

(2)
Material: BaMgRh2
Method: DFT, PBEsol
State: optimized geometry

Output
SG: P4/mmm
DOS at the Fermi energy, states/eV per atom: 0.687
Crystal system: tetragonal
Formation enthalpy at 0 K, eV per atom: 0.029
E, eV per atom: -5.01
Total magnetization, Bohr magnetons per cell: 0.00

a = 3.3485 Å, b = 3.3485 Å, c = 6.9740 Å
α = 90.00°, β = 90.00°, γ = 90.00°
With the nearest neighbours (Å) after each atom.
Element x y z (fractional)
Ba 0.0000 0.0000 0.0000  8 Rh 3.18, 4 Ba 3.35, 2 Mg 3.49
Mg 0.0000 0.0000 0.5000  8 Rh 2.73
Rh 0.5000 0.5000 0.3037  4 Mg 2.73, 1 Rh 2.74
Rh 0.5000 0.5000 0.6963  4 Mg 2.73, 1 Rh 2.74

=====

(3)
Material: Tc2HgTeOs
Method: DFT, PBEsol
State: optimized geometry

Output
SG: P4/mmm
DOS at the Fermi energy, states/eV per atom: 1.186
Crystal system: tetragonal
Energy relative to the elements, uncorrected, eV per atom: 1.629
E, eV per atom: -6.14
Total magnetization, Bohr magnetons per cell: 2.87

a = 4.7232 Å, b = 4.7232 Å, c = 5.1194 Å
α = 90.00°, β = 90.00°, γ = 90.00°
With the nearest neighbours (Å) after each atom.
Element x y z (fractional)
Tc 0.0000 0.5000 0.0000  2 Os 2.36
Tc 0.5000 0.0000 0.0000  2 Os 2.36
Hg 0.0000 0.0000 0.5000  4 Te 3.34, 8 Tc 3.48
Te 0.5000 0.5000 0.5000  2 Os 2.56
Os 0.5000 0.5000 0.0000  4 Tc 2.36, 2 Te 2.56

=====

(4)
Material: BeAl2GeF
Method: DFT, PBEsol
State: optimized geometry

Output
SG: P4/mmm
DOS at the Fermi energy, states/eV per atom: 0.388
Crystal system: tetragonal
Energy relative to the elements, uncorrected, eV per atom: -0.232
E, eV per atom: -4.04
Total magnetization, Bohr magnetons per cell: 0.00

a = 4.9213 Å, b = 4.9213 Å, c = 3.2042 Å
α = 90.00°, β = 90.00°, γ = 90.00°
With the nearest neighbours (Å) after each atom.
Element x y z (fractional)
Be 0.0000 0.0000 0.0000  2 F 1.60
Al 0.0000 0.5000 0.0000  2 Be 2.46
Al 0.5000 0.0000 0.0000  2 Be 2.46
Ge 0.5000 0.5000 0.5000  8 Al 2.94, 2 Ge 3.20
F 0.0000 0.0000 0.5000  2 Be 1.60

=====

(5)
Material: CrAgRh
Method: DFT, PBEsol
State: optimized geometry

Output
SG: F-43m
DOS at the Fermi energy, states/eV per atom: 1.055
Crystal system: cubic
Formation enthalpy at 0 K, eV per atom: 0.803
E, eV per atom: -6.43
Total magnetization, Bohr magnetons per cell: 2.70

a = 4.1845 Å, b = 4.1845 Å, c = 4.1845 Å
α = 60.00°, β = 60.00°, γ = 60.00°
With the nearest neighbours (Å) after each atom.
Element x y z (fractional)
Cr 0.0000 0.0000 0.0000  4 Rh 2.56
Ag 0.5000 0.5000 0.5000  4 Rh 2.56
Rh 0.7500 0.7500 0.7500  4 Ag 2.56, 4 Cr 2.56

=====

(6)
Material: SiPbCl2
Method: DFT, PBEsol
State: optimized geometry

Output
SG: R-3m
DOS at the Fermi energy, states/eV per atom: 0.379
Crystal system: trigonal
Energy relative to the elements, uncorrected, eV per atom: -0.153
E, eV per atom: -3.59
Total magnetization, Bohr magnetons per cell: 0.00

a = 9.1802 Å, b = 9.1802 Å, c = 9.1802 Å
α = 21.12°, β = 21.12°, γ = 21.12°
With the nearest neighbours (Å) after each atom.
Element x y z (fractional)
Si 0.0000 0.0000 0.0000  6 Cl 2.81
Pb 0.5000 0.5000 0.5000  6 Cl 3.13, 6 Pb 3.36
Cl 0.2579 0.2579 0.2579  3 Si 2.81, 3 Pb 3.13
Cl 0.7421 0.7421 0.7421  3 Si 2.81, 3 Pb 3.13

=====

(7)
Material: RuPt2W
Method: DFT, PBEsol
State: optimized geometry

Output
SG: Fm-3m
DOS at the Fermi energy, states/eV per atom: 1.438
Crystal system: cubic
Formation enthalpy at 0 K, eV per atom: 0.271
E, eV per atom: -9.21
Total magnetization, Bohr magnetons per cell: 0.00

a = 4.3900 Å, b = 4.3900 Å, c = 4.3900 Å
α = 60.00°, β = 60.00°, γ = 60.00°
With the nearest neighbours (Å) after each atom.
Element x y z (fractional)
Ru 0.0000 0.0000 0.0000  8 Pt 2.69
Pt 0.2500 0.2500 0.2500  4 W 2.69, 4 Ru 2.69
Pt 0.7500 0.7500 0.7500  4 W 2.69, 4 Ru 2.69
W 0.5000 0.5000 0.5000  8 Pt 2.69

=====

(8)
Material: ErH4I3O11
Method: DFT, PBEsol
State: optimized geometry

Output
SG: P-1
DOS at the Fermi energy, states/eV per atom: 0.000
Crystal system: triclinic
E, eV per atom: -5.33
Total magnetization, Bohr magnetons per cell: 0.00

a = 7.2310 Å, b = 7.4546 Å, c = 9.1722 Å
α = 79.24°, β = 84.05°, γ = 70.63°
With the nearest neighbours (Å) after each atom.
Element x y z (fractional)
Er 0.2233 0.1630 0.1764  8 O 2.23-2.40
Er 0.7767 0.8370 0.8236  8 O 2.23-2.40
H 0.0075 0.5739 0.1382  1 O 1.00
H 0.1868 0.5405 0.2472  1 O 1.00
H 0.3209 0.0522 0.4793  1 O 1.00
H 0.3863 0.2404 0.4346  1 O 0.99
H 0.6137 0.7596 0.5654  1 O 0.99
H 0.6791 0.9478 0.5207  1 O 1.00
H 0.8132 0.4595 0.7528  1 O 1.00
H 0.9925 0.4261 0.8618  1 O 1.00
I 0.1626 0.7564 0.4913  3 O 1.82-1.88
I 0.2367 0.9047 0.8641  3 O 1.83-1.84
I 0.4083 0.3451 0.8061  3 O 1.81-1.86
I 0.5917 0.6549 0.1939  3 O 1.81-1.86
I 0.7633 0.0953 0.1359  3 O 1.83-1.84
I 0.8374 0.2436 0.5087  3 O 1.82-1.88
O 0.0683 0.9839 0.3542  1 I 1.88
O 0.1189 0.7230 0.8587  1 I 1.83
O 0.1255 0.4771 0.1879  2 H 1.00
O 0.1898 0.9226 0.0623  1 I 1.84
O 0.2061 0.2868 0.9273  1 H 1.65
O 0.2689 0.4443 0.6399  1 I 1.81
O 0.2859 0.1837 0.4169  2 H 0.99-1.00
O 0.3106 0.6159 0.3500  1 H 1.65, 1 I 1.84
O 0.3453 0.8253 0.5707  2 H 1.70-1.84, 1 I 1.82
O 0.4893 0.7412 0.8859  1 I 1.84
O 0.4958 0.9040 0.2296  1 I 1.83
O 0.5042 0.0960 0.7704  1 I 1.83
O 0.5107 0.2588 0.1141  1 I 1.84
O 0.6547 0.1747 0.4293  2 H 1.70-1.84, 1 I 1.82
O 0.6894 0.3841 0.6500  1 H 1.65, 1 I 1.84
O 0.7141 0.8163 0.5831  2 H 0.99-1.00
O 0.7311 0.5557 0.3601  1 I 1.81
O 0.7939 0.7133 0.0727  1 H 1.65
O 0.8102 0.0774 0.9377  1 I 1.84
O 0.8745 0.5229 0.8121  2 H 1.00
O 0.8811 0.2770 0.1413  1 I 1.83
O 0.9317 0.0161 0.6458  1 I 1.88

=====

(9)
Material: HfFeI2O
Method: DFT, PBEsol
State: optimized geometry

Output
SG: P4/mmm
DOS at the Fermi energy, states/eV per atom: 0.909
Crystal system: tetragonal
Energy relative to the elements, uncorrected, eV per atom: -0.100
E, eV per atom: -5.75
Total magnetization, Bohr magnetons per cell: 0.00

a = 5.3068 Å, b = 5.3068 Å, c = 3.4413 Å
α = 90.00°, β = 90.00°, γ = 90.00°
With the nearest neighbours (Å) after each atom.
Element x y z (fractional)
Hf 0.0000 0.0000 0.0000  8 I 3.16, 2 Hf 3.44
Fe 0.5000 0.5000 0.5000  2 O 1.72
I 0.0000 0.5000 0.5000  2 Fe 2.65
I 0.5000 0.0000 0.5000  2 Fe 2.65
O 0.5000 0.5000 0.0000  2 Fe 1.72

=====

(10)
Material: KNbF6
Method: DFT, PBEsol
State: optimized geometry

Output
SG: P4_2/mcm
DOS at the Fermi energy, states/eV per atom: 0.000
Crystal system: tetragonal
Energy relative to the elements, uncorrected, eV per atom: -3.083
E, eV per atom: -6.02
Total magnetization, Bohr magnetons per cell: 0.00

a = 5.2683 Å, b = 5.2683 Å, c = 9.7296 Å
α = 90.00°, β = 90.00°, γ = 90.00°
With the nearest neighbours (Å) after each atom.
Element x y z (fractional)
K 0.0000 0.0000 0.2500  4 F 2.59
K 0.0000 0.0000 0.7500  4 F 2.59
Nb 0.5000 0.5000 0.0000  6 F 1.92-1.93
Nb 0.5000 0.5000 0.5000  6 F 1.92-1.93
F 0.2405 0.2405 0.0000  1 Nb 1.93
F 0.2405 0.7595 0.5000  1 Nb 1.93
F 0.3162 0.3162 0.3612  1 Nb 1.92
F 0.3162 0.3162 0.6388  1 Nb 1.92
F 0.3162 0.6838 0.1388  1 Nb 1.92
F 0.3162 0.6838 0.8612  1 Nb 1.92
F 0.6838 0.3162 0.1388  1 Nb 1.92
F 0.6838 0.3162 0.8612  1 Nb 1.92
F 0.6838 0.6838 0.3612  1 Nb 1.92
F 0.6838 0.6838 0.6388  1 Nb 1.92
F 0.7595 0.2405 0.5000  1 Nb 1.93
F 0.7595 0.7595 0.0000  1 Nb 1.93

=====

(11)
Material: RbZn13
Method: DFT, PBEsol
State: optimized geometry

Output
SG: Fm-3c
DOS at the Fermi energy, states/eV per atom: 0.172
Crystal system: cubic
Formation enthalpy at 0 K, eV per atom: -0.057
E, eV per atom: -1.60
Total magnetization, Bohr magnetons per cell: 0.00

a = 8.5857 Å, b = 8.5857 Å, c = 8.5857 Å
α = 60.00°, β = 60.00°, γ = 60.00°
With the nearest neighbours (Å) after each atom.
Element x y z (fractional)
Rb 0.2500 0.2500 0.2500  24 Zn 3.53
Rb 0.7500 0.7500 0.7500  24 Zn 3.53
Zn 0.0000 0.0000 0.0000  12 Zn 2.62
Zn 0.0608 0.2987 0.7013  9 Zn 2.55-2.72
Zn 0.0608 0.7013 0.9392  9 Zn 2.55-2.72
Zn 0.0608 0.9392 0.2987  9 Zn 2.55-2.72
Zn 0.2013 0.4392 0.7987  9 Zn 2.55-2.72
Zn 0.2013 0.5608 0.4392  9 Zn 2.55-2.72
Zn 0.2013 0.7987 0.5608  9 Zn 2.55-2.72
Zn 0.2987 0.0608 0.9392  9 Zn 2.55-2.72
Zn 0.2987 0.7013 0.0608  9 Zn 2.55-2.72
Zn 0.2987 0.9392 0.7013  9 Zn 2.55-2.72
Zn 0.4392 0.2013 0.5608  9 Zn 2.55-2.72
Zn 0.4392 0.5608 0.7987  9 Zn 2.55-2.72
Zn 0.4392 0.7987 0.2013  9 Zn 2.55-2.72
Zn 0.5000 0.5000 0.5000  12 Zn 2.62
Zn 0.5608 0.2013 0.7987  9 Zn 2.55-2.72
Zn 0.5608 0.4392 0.2013  9 Zn 2.55-2.72
Zn 0.5608 0.7987 0.4392  9 Zn 2.55-2.72
Zn 0.7013 0.0608 0.2987  9 Zn 2.55-2.72
Zn 0.7013 0.2987 0.9392  9 Zn 2.55-2.72
Zn 0.7013 0.9392 0.0608  9 Zn 2.55-2.72
Zn 0.7987 0.2013 0.4392  9 Zn 2.55-2.72
Zn 0.7987 0.4392 0.5608  9 Zn 2.55-2.72
Zn 0.7987 0.5608 0.2013  9 Zn 2.55-2.72
Zn 0.9392 0.0608 0.7013  9 Zn 2.55-2.72
Zn 0.9392 0.2987 0.0608  9 Zn 2.55-2.72
Zn 0.9392 0.7013 0.2987  9 Zn 2.55-2.72

=====

(12)
Material: MgMnCo2
Method: DFT, PBEsol
State: optimized geometry

Output
SG: P4mm
DOS at the Fermi energy, states/eV per atom: 0.877
Crystal system: tetragonal
Formation enthalpy at 0 K, eV per atom: 0.226
E, eV per atom: -6.51
Total magnetization, Bohr magnetons per cell: 6.55

a = 2.8391 Å, b = 2.8391 Å, c = 6.4900 Å
α = 90.00°, β = 90.00°, γ = 90.00°
With the nearest neighbours (Å) after each atom.
Element x y z (fractional)
Mg 0.0000 0.0000 0.0000  4 Co 2.65, 4 Mg 2.84, 4 Mn 2.87
Mn 0.5000 0.5000 0.3156  5 Co 2.48-2.71
Co 0.0000 0.0000 0.5396  4 Co 2.37, 4 Mn 2.48
Co 0.5000 0.5000 0.7330  4 Co 2.37